# 1
Here is a geometry-optimized LiNdLuIn structure from Alexandria. Energies are from GGA-PBE.

Values from the calculation:
* size of the total moment: 0.00 μB per atom
* calculated volume: 26.5 Å³ per atom
* calculated total energy: -3.73 eV per atom
* space group: F-43m
* formation enthalpy at 0 K: -248 meV per atom
* mass density: 6.9 g/cm³
* density of states at the Fermi level: 14.949 states/eV/cell

abc: 7.509 7.509 7.509
angles: 90.00 90.00 90.00
Fractional positions:
1 Li 0.000 0.000 0.000
2 Li 0.000 0.500 0.500
3 Li 0.500 0.000 0.500
4 Li 0.500 0.500 0.000
5 Nd 0.250 0.250 0.750
6 Nd 0.250 0.750 0.250
7 Nd 0.750 0.250 0.250
8 Nd 0.750 0.750 0.750
9 Lu 0.250 0.250 0.250
10 Lu 0.250 0.750 0.750
11 Lu 0.750 0.250 0.750
12 Lu 0.750 0.750 0.250
13 In 0.000 0.000 0.500
14 In 0.000 0.500 0.000
15 In 0.500 0.000 0.000
16 In 0.500 0.500 0.500

***

# 2
Here is a geometry-optimized Sc4CoBr structure from Alexandria. Energies are from GGA-PBE.

Values from the calculation:
* size of the total moment: 0.29 μB per atom
* ΔE_f (raw): 0.6014 eV per atom
* calculated volume: 23.3 Å³ per atom
* calculated total energy: -5.08 eV per atom
* space group: F-43m
* mass density: 3.8 g/cm³
* density of states at the Fermi level: 9.174 states/eV/cell

abc: 5.825 5.825 5.825
angles: 60.00 60.00 60.00
Fractional positions:
1 Sc 0.377 0.377 0.377
2 Sc 0.377 0.377 0.868
3 Sc 0.377 0.868 0.377
4 Sc 0.868 0.377 0.377
5 Co 0.750 0.750 0.750
6 Br 0.000 0.000 0.000

***

# 3
Here is a geometry-optimized SrLi6Al12 structure from Alexandria. Energies are from GGA-PBE.

Values from the calculation:
* size of the total moment: 0.00 μB per atom
* calculated volume: 18.4 Å³ per atom
* calculated total energy: -2.99 eV per atom
* space group: R-3m
* formation enthalpy at 0 K: 67 meV per atom
* mass density: 2.1 g/cm³
* density of states at the Fermi level: 6.416 states/eV/cell

abc: 7.335 7.335 7.335
angles: 104.26 104.26 104.26
Fractional positions:
1 Sr 0.000 0.000 0.000
2 Li 0.272 0.272 0.712
3 Li 0.272 0.712 0.272
4 Li 0.288 0.728 0.728
5 Li 0.712 0.272 0.272
6 Li 0.728 0.288 0.728
7 Li 0.728 0.728 0.288
8 Al 0.115 0.500 0.885
9 Al 0.115 0.885 0.500
10 Al 0.152 0.408 0.408
11 Al 0.408 0.152 0.408
12 Al 0.408 0.408 0.152
13 Al 0.500 0.115 0.885
14 Al 0.500 0.885 0.115
15 Al 0.592 0.592 0.848
16 Al 0.592 0.848 0.592
17 Al 0.848 0.592 0.592
18 Al 0.885 0.115 0.500
19 Al 0.885 0.500 0.115